Entry 1:
BaLaGa3 after structural relaxation, computed with PBE.

Cell lengths 5.6959, 5.6959, 5.6959 Å; angles 90.00, 90.00, 90.00 degrees
Element x y z (fractional)
Ba 0.5000 0.5000 0.5000
Ga 0.0000 0.5000 0.0000
Ga 0.0000 0.0000 0.5000
Ga 0.5000 0.0000 0.0000
La 0.0000 0.0000 0.0000

Calculated values
Space group: Pm-3m
Crystal system: cubic
Polymorph energy (0 for the lowest one): 0.6929 eV per atom
Magnetization: 0.0000 μB/atom



Entry 2:
Cs2CdGe2S6 after structural relaxation, computed with PBE.

Cell lengths 7.1945, 7.1945, 8.9351 Å; angles 66.26, 66.26, 60.00 degrees
Element x y z (fractional)
Cs 0.7823 0.7823 0.6532
Cs 0.2177 0.2177 0.3468
Cd 0.0000 0.0000 0.0000
Ge 0.4046 0.4046 0.7862
Ge 0.5954 0.5954 0.2138
S 0.7586 0.7586 0.2385
S 0.2443 0.7586 0.2385
S 0.7586 0.2443 0.2385
S 0.2414 0.7557 0.7615
S 0.7557 0.2414 0.7615
S 0.2414 0.2414 0.7615

Calculated values
Space group: R-3m
Crystal system: trigonal
Formation energy without anion corrections: -0.5815 eV/atom
Magnetization: 0.0000 μB/atom



Entry 3:
CrIr2Rh3 after structural relaxation, computed with PBE.

Cell lengths 2.6590, 5.2587, 12.7348 Å; angles 90.00, 90.00, 90.00 degrees
Last column: magnetic moment on the atom in μB.
Element x y z (fractional)
Cr 0.0000 0.0000 0.5000  1.08
Cr 0.5000 0.5000 0.0000  1.08
Ir 0.5000 0.7573 0.1588  -0.05
Ir 0.0000 0.2573 0.3412  -0.05
Ir 0.0000 0.7427 0.6588  -0.05
Ir 0.5000 0.2427 0.8412  -0.05
Rh 0.0000 0.0000 0.0000  -0.02
Rh 0.5000 0.5000 0.5000  -0.02
Rh 0.5000 0.7524 0.8361  -0.02
Rh 0.5000 0.2476 0.1639  -0.02
Rh 0.0000 0.2524 0.6639  -0.02
Rh 0.0000 0.7476 0.3361  -0.02

Calculated values
Space group: Pnnm
Crystal system: orthorhombic
Polymorph energy (0 for the lowest one): 0.3943 eV per atom
Magnetization: 0.1654 μB/atom



Entry 4:
PrZn2Au8 after structural relaxation, computed with PBE.

Cell lengths 5.5668, 5.5668, 8.3522 Å; angles 90.00, 90.00, 90.00 degrees
Element x y z (fractional)
Pr 0.5000 0.5000 0.5000
Zn 0.5000 0.0000 0.0000
Zn 0.0000 0.5000 0.0000
Au 0.7540 0.7540 0.2194
Au 0.7540 0.2460 0.7806
Au 0.7540 0.7540 0.7806
Au 0.7540 0.2460 0.2194
Au 0.2460 0.7540 0.2194
Au 0.2460 0.7540 0.7806
Au 0.2460 0.2460 0.2194
Au 0.2460 0.2460 0.7806

Calculated values
Space group: P4/mmm
VASP energy: -3.18 eV per atom
Crystal system: tetragonal
Magnetization: 0.0000 μB/atom



Entry 5:
K2HgO after structural relaxation, computed with PBE.

Cell lengths 8.2149, 8.2149, 7.0421 Å; angles 54.32, 54.32, 90.00 degrees
Element x y z (fractional)
K 0.5080 0.1250 0.2500
K 0.2420 0.6250 0.2500
K 0.3750 0.4920 0.7500
K 0.8750 0.7580 0.7500
Hg 0.0000 0.0000 0.0000
Hg 0.7500 0.2500 0.5000
O 0.5000 0.5000 0.0000
O 0.2500 0.7500 0.5000

Calculated values
Space group: I-42d
Crystal system: tetragonal
Polymorph energy (0 for the lowest one): 0.0976 eV per atom
Formation energy without anion corrections: -0.6460 eV/atom
Magnetization: 0.0000 μB/atom



Entry 6:
HfAsN3 after structural relaxation, computed with PBE.

Cell lengths 4.1632, 4.1632, 4.1632 Å; angles 90.00, 90.00, 90.00 degrees
Last column: magnetic moment on the atom in μB.
Element x y z (fractional)
As 0.5000 0.5000 0.5000  -0.26
Hf 0.0000 0.0000 0.0000  0.01
N 0.0000 0.5000 0.0000  0.62
N 0.0000 0.0000 0.5000  0.71
N 0.5000 0.0000 0.0000  0.45

Calculated values
Space group: Pm-3m
Crystal system: cubic
Formation energy without anion corrections: 0.8747 eV/atom
Magnetization: 0.3908 μB/atom



Entry 7:
LiPuRu after structural relaxation, computed with PBE.

Cell lengths 3.7715, 3.7715, 7.7833 Å; angles 90.00, 90.00, 90.00 degrees
Last column: magnetic moment on the atom in μB.
Element x y z (fractional)
Pu 0.3365 0.8365 0.8484  4.85
Pu 0.8365 0.3365 0.1516  4.85
Ru 0.3365 0.8365 0.2208  -0.62
Ru 0.8365 0.3365 0.7792  -0.62
Li 0.8364 0.8364 0.5000  0.02
Li 0.3364 0.3364 0.5000  0.02

Calculated values
Space group: P4/nmm
Crystal system: tetragonal
Polymorph energy (0 for the lowest one): 0.0000 eV per atom
Magnetization: 1.5047 μB/atom



Entry 8:
Ho12Bi6Rh after structural relaxation, computed with PBE.

Cell lengths 8.6438, 8.6438, 8.6438 Å; angles 99.89, 99.89, 99.89 degrees
Element x y z (fractional)
Ho 0.7977 0.5894 0.4616
Ho 0.4616 0.7977 0.5894
Ho 0.5894 0.4616 0.7977
Ho 0.2023 0.4106 0.5384
Ho 0.5384 0.2023 0.4106
Ho 0.4106 0.5384 0.2023
Ho 0.0602 0.9958 0.3107
Ho 0.0042 0.6893 0.9398
Ho 0.6893 0.9398 0.0042
Ho 0.9398 0.0042 0.6893
Ho 0.9958 0.3107 0.0602
Ho 0.3107 0.0602 0.9958
Bi 0.6805 0.8833 0.3497
Bi 0.6503 0.3195 0.1167
Bi 0.1167 0.6503 0.3195
Bi 0.3195 0.1167 0.6503
Bi 0.3497 0.6805 0.8833
Bi 0.8833 0.3497 0.6805
Rh 0.0000 0.0000 0.0000

Calculated values
Space group: R-3
VASP energy: -4.99 eV per atom
Crystal system: trigonal
Magnetization: 0.0000 μB/atom



Entry 9:
EuMgCl2 after structural relaxation, computed with PBE.

Cell lengths 3.7964, 3.7964, 9.7522 Å; angles 78.78, 78.78, 60.00 degrees
Last column: magnetic moment on the atom in μB.
Element x y z (fractional)
Eu 0.0000 0.0000 0.0000  7.07
Mg 0.5000 0.5000 0.5000  0.01
Cl 0.1193 0.1193 0.6420  0.00
Cl 0.8807 0.8807 0.3580  0.00

Calculated values
Space group: R-3m
Crystal system: trigonal
Formation energy without anion corrections: -1.1782 eV/atom
Magnetization: 1.9255 μB/atom



Entry 10:
Sc3IrRh2 after structural relaxation, computed with PBE.

Cell lengths 4.5702, 4.5702, 11.1774 Å; angles 90.00, 90.00, 120.00 degrees
Element x y z (fractional)
Sc 0.3333 0.6667 0.4167
Sc 0.6667 0.3333 0.0841
Sc 0.0000 0.0000 0.7492
Sc 0.0000 0.0000 0.2508
Sc 0.3333 0.6667 0.9159
Sc 0.6667 0.3333 0.5833
Ir 0.3333 0.6667 0.6666
Ir 0.6667 0.3333 0.3334
Rh 0.0000 0.0000 0.5000
Rh 0.3333 0.6667 0.1659
Rh 0.6667 0.3333 0.8341
Rh 0.0000 0.0000 0.0000

Calculated values
Space group: P-3m1
VASP energy: -8.13 eV per atom
Crystal system: trigonal
Magnetization: 0.0000 μB/atom



Entry 11:
MnCo2Si after structural relaxation, computed with PBE.

Cell lengths 4.2285, 4.2285, 4.3260 Å; angles 76.83, 76.83, 36.81 degrees
Last column: magnetic moment on the atom in μB.
Element x y z (fractional)
Co 0.9921 0.9921 0.0075  1.00
Co 0.5079 0.5079 0.4925  1.00
Mn 0.7500 0.7500 0.7500  2.51
Si 0.2500 0.2500 0.2500  -0.06

Calculated values
Space group: C2/m
Crystal system: monoclinic
Formation energy without anion corrections: -0.2184 eV/atom
Magnetization: 1.1110 μB/atom



Entry 12:
MnZn2Pt after structural relaxation, computed with PBE.

Cell lengths 4.7377, 4.7377, 4.6560 Å; angles 79.77, 79.77, 34.42 degrees
Last column: magnetic moment on the atom in μB.
Element x y z (fractional)
Mn 0.5021 0.5021 0.4985  3.43
Pt 0.2495 0.2495 0.2532  0.14
Zn 0.9963 0.9963 0.9989  -0.04
Zn 0.7522 0.7522 0.7494  -0.01

Calculated values
Space group: Cm
VASP energy: -4.67 eV per atom
Crystal system: monoclinic
Magnetization: 0.9103 μB/atom



> Which of these has the highest magnetization?

EuMgCl2



> The highest magnetization belongs to which entry?

EuMgCl2



> Which formula does entry 4 have?

PrZn2Au8